Record 1
## RbPSe3 (PBE)

Data for a relaxed structure of RbPSe3.

The structure in CIF format:
```
data_RbPSe3
_cell_length_a 7.6394
_cell_length_b 7.6394
_cell_length_c 19.6123
_cell_angle_alpha 90.00
_cell_angle_beta 90.00
_cell_angle_gamma 120.00
_symmetry_space_group_name_H-M 'P 31 2 1'
_symmetry_Int_Tables_number 152
loop_
_symmetry_equiv_pos_as_xyz
'x,y,z'
'-y,x-y,z+1/3'
'-x+y,-x,z+2/3'
'y,x,-z'
'x-y,-y,-z+2/3'
'-x,-x+y,-z+1/3'
loop_
_atom_site_label
_atom_site_fract_x
_atom_site_fract_y
_atom_site_fract_z
Rb1 0.2661 0.5661 0.2490
P1 0.0475 0.1210 0.4474
Se1 0.0132 0.7365 0.7767
Se2 0.0760 0.2391 0.7212
Se3 0.2094 0.7713 0.0899
```

formation energy without anion corrections: -0.53 eV per atom
total magnetization: 0.000 μB per atom


Record 2
## CsTlCl (PBE)

Data for a relaxed structure of CsTlCl.

The structure in CIF format:
```
data_CsTlCl
_cell_length_a 4.810
_cell_length_b 4.810
_cell_length_c 10.830
_cell_angle_alpha 90.00
_cell_angle_beta 90.00
_cell_angle_gamma 90.00
_symmetry_space_group_name_H-M 'P 4/n m m'
_symmetry_Int_Tables_number 129
loop_
_symmetry_equiv_pos_as_xyz
'x,y,z'
'-x,-y,-z'
'-y+1/2,x,z'
'y+1/2,-x,-z'
'-x+1/2,-y+1/2,z'
'x+1/2,y+1/2,-z'
'y,-x+1/2,z'
'-y,x+1/2,-z'
'x+1/2,-y,-z'
'-x+1/2,y,z'
'-y,-x,-z'
'y,x,z'
'-x,y+1/2,-z'
'x,-y+1/2,z'
'y+1/2,x+1/2,-z'
'-y+1/2,-x+1/2,z'
loop_
_atom_site_label
_atom_site_fract_x
_atom_site_fract_y
_atom_site_fract_z
Cs1 0.250 0.250 0.166
Tl1 0.250 0.250 0.531
Cl1 0.250 0.250 0.838
```

formation energy without anion corrections: -1.12 eV per atom
total magnetization: 0.000 μB per atom
DOS(E_F): 0.39 states/eV per atom


Record 3
## TmZrPa2N4 (PBE)

Data for a relaxed structure of TmZrPa2N4.

The structure in CIF format:
```
data_TmZrPa2N4
_cell_length_a 5.886
_cell_length_b 3.406
_cell_length_c 5.953
_cell_angle_alpha 90.00
_cell_angle_beta 109.30
_cell_angle_gamma 90.00
_symmetry_space_group_name_H-M 'P 1 2/m 1'
_symmetry_Int_Tables_number 10
loop_
_symmetry_equiv_pos_as_xyz
'x,y,z'
'-x,-y,-z'
'-x,y,-z'
'x,-y,z'
loop_
_atom_site_label
_atom_site_fract_x
_atom_site_fract_y
_atom_site_fract_z
Tm1 0.000 0.000 0.000
Zr1 0.500 0.500 0.000
Pa1 0.000 0.500 0.500
Pa2 0.500 0.000 0.500
N1 0.252 0.500 0.242
N2 0.257 0.000 0.760
```

formation energy without anion corrections: -1.68 eV per atom
total magnetization: 0.000 μB per atom
DOS(E_F): 0.53 states/eV per atom


Record 4
## Er2TlH (PBE)

Data for a relaxed structure of Er2TlH.

The structure in CIF format:
```
data_Er2TlH
_cell_length_a 4.504
_cell_length_b 4.504
_cell_length_c 8.393
_cell_angle_alpha 90.00
_cell_angle_beta 90.00
_cell_angle_gamma 90.00
_symmetry_space_group_name_H-M 'P 4/n m m'
_symmetry_Int_Tables_number 129
loop_
_symmetry_equiv_pos_as_xyz
'x,y,z'
'-x,-y,-z'
'-y+1/2,x,z'
'y+1/2,-x,-z'
'-x+1/2,-y+1/2,z'
'x+1/2,y+1/2,-z'
'y,-x+1/2,z'
'-y,x+1/2,-z'
'x+1/2,-y,-z'
'-x+1/2,y,z'
'-y,-x,-z'
'y,x,z'
'-x,y+1/2,-z'
'x,-y+1/2,z'
'y+1/2,x+1/2,-z'
'-y+1/2,-x+1/2,z'
loop_
_atom_site_label
_atom_site_fract_x
_atom_site_fract_y
_atom_site_fract_z
Er1 0.250 0.250 0.153
Er2 0.250 0.750 0.500
Tl1 0.250 0.250 0.781
H1 0.250 0.250 0.419
```

total magnetization: 0.000 μB per atom
DOS(E_F): 0.44 states/eV per atom
E above lowest polymorph: 0 meV/atom


Record 5
## CuTeRh2 (PBE)

Data for a relaxed structure of CuTeRh2.

The structure in CIF format:
```
data_CuTeRh2
_cell_length_a 3.2969
_cell_length_b 3.2969
_cell_length_c 21.5674
_cell_angle_alpha 90.00
_cell_angle_beta 90.00
_cell_angle_gamma 120.00
_symmetry_space_group_name_H-M 'R -3 m'
_symmetry_Int_Tables_number 166
_symmetry_space_group_name_Hall '-R 3 2"'
loop_
_atom_site_label
_atom_site_fract_x
_atom_site_fract_y
_atom_site_fract_z
Cu1 0.0000 0.0000 0.0000
Te1 0.0000 0.0000 0.5000
Rh1 0.0000 0.0000 0.2520
```

formation energy without anion corrections: 0.18 eV per atom
total magnetization: 0.000 μB per atom
DOS(E_F): 0.68 states/eV per atom


Record 6
## CoIr2Ru2 (PBE)

Data for a relaxed structure of CoIr2Ru2.

The structure in CIF format:
```
data_CoIr2Ru2
_cell_length_a 3.930
_cell_length_b 9.666
_cell_length_c 3.869
_cell_angle_alpha 90.00
_cell_angle_beta 90.00
_cell_angle_gamma 90.00
_symmetry_space_group_name_H-M 'C m m m'
_symmetry_Int_Tables_number 65
_symmetry_space_group_name_Hall '-C 2 2'
loop_
_atom_site_label
_atom_site_fract_x
_atom_site_fract_y
_atom_site_fract_z
Co1 0.000 0.000 0.000
Ir1 0.000 0.351 0.000
Ru1 0.000 0.161 0.500
```

total magnetization: 0.294 μB per atom
formation energy from the elements: 0.39 eV/atom
DOS(E_F): 1.45 states/eV per atom


Record 7
## CrCu2Rh (PBE)

Data for a relaxed structure of CrCu2Rh.

The structure in CIF format:
```
data_CrCu2Rh
_cell_length_a 8.593
_cell_length_b 2.828
_cell_length_c 4.435
_cell_angle_alpha 90.00
_cell_angle_beta 104.33
_cell_angle_gamma 90.00
_symmetry_space_group_name_H-M 'C 1 m 1'
_symmetry_Int_Tables_number 8
loop_
_symmetry_equiv_pos_as_xyz
'x,y,z'
'x,-y,z'
'x+1/2,y+1/2,z'
'x+1/2,-y+1/2,z'
loop_
_atom_site_label
_atom_site_fract_x
_atom_site_fract_y
_atom_site_fract_z
Cr1 0.000 0.000 0.000
Cu1 0.004 0.500 0.505
Cu2 0.250 0.000 0.701
Rh1 0.249 0.500 0.200
```

total magnetization: 0.669 μB per atom
formation energy from the elements: 0.12 eV/atom
DOS(E_F): 0.84 states/eV per atom


Record 8
## PmErScIn (PBE)

Data for a relaxed structure of PmErScIn.

The structure in CIF format:
```
data_PmErScIn
_cell_length_a 7.603
_cell_length_b 7.603
_cell_length_c 7.603
_cell_angle_alpha 90.00
_cell_angle_beta 90.00
_cell_angle_gamma 90.00
_symmetry_space_group_name_H-M 'F -4 3 m'
_symmetry_Int_Tables_number 216
_symmetry_space_group_name_Hall 'F -4 2 3'
loop_
_atom_site_label
_atom_site_fract_x
_atom_site_fract_y
_atom_site_fract_z
Pm1 0.000 0.000 0.000
Er1 0.000 0.000 0.500
Sc1 0.250 0.250 0.250
In1 0.250 0.250 0.750
```

total magnetization: 0.263 μB per atom
formation energy from the elements: -0.16 eV/atom
DOS(E_F): 1.34 states/eV per atom
E above lowest polymorph: 0 meV/atom